[1]
Compound: K2AlAu
Source: Alexandria via LeMat-Bulk
Functional: GGA-PBEsol
Structure: optimized geometry

- E_tot (eV per atom) = -2.32
- magnetization (μB per formula unit) = 0.64
- Fermi-level density of states (states/eV per cell) = 4.53
- calculated density (Mg/m³) = 4.70
- formation energy from the elements (meV/atom) = 253
- polymorph energy (0 for the lowest one) (meV per atom) = 392

```
data_K2AlAu
_cell_length_a 4.469
_cell_length_b 4.469
_cell_length_c 10.685
_cell_angle_alpha 90.00
_cell_angle_beta 90.00
_cell_angle_gamma 90.00
_space_group_name_H-M_alt 'I 4/m m m'
_space_group_IT_number 139
_space_group_name_Hall '-I 4 2'
loop_
_atom_site_label
_atom_site_fract_x
_atom_site_fract_y
_atom_site_fract_z
K1 0.000 0.500 0.250
Al1 0.000 0.000 0.000
Au1 0.000 0.000 0.500
```

[2]
Compound: KAl2Au
Source: Alexandria via LeMat-Bulk
Functional: GGA-PBEsol
Structure: optimized geometry

- E_tot (eV per atom) = -3.10
- magnetization (μB per formula unit) = 0.00
- Fermi-level density of states (states/eV per cell) = 3.53
- calculated density (Mg/m³) = 5.24
- formation energy from the elements (meV/atom) = 207

```
data_KAl2Au
_cell_length_a 4.651
_cell_length_b 5.517
_cell_length_c 7.166
_cell_angle_alpha 90.00
_cell_angle_beta 90.00
_cell_angle_gamma 90.00
_space_group_name_H-M_alt 'I m m 2'
_space_group_IT_number 44
loop_
_space_group_symop_operation_xyz
'x,y,z'
'-x,-y,z'
'-x,y,z'
'x,-y,z'
'x+1/2,y+1/2,z+1/2'
'-x+1/2,-y+1/2,z+1/2'
'-x+1/2,y+1/2,z+1/2'
'x+1/2,-y+1/2,z+1/2'
loop_
_atom_site_label
_atom_site_fract_x
_atom_site_fract_y
_atom_site_fract_z
K1 0.000 0.000 0.000
Al1 0.000 0.000 0.526
Al2 0.000 0.500 0.798
Au1 0.000 0.500 0.179
```

[3]
Compound: K2AlAu
Source: Alexandria via LeMat-Bulk
Functional: GGA-PBEsol
Structure: optimized geometry

- E_tot (eV per atom) = -2.35
- magnetization (μB per formula unit) = 0.00
- Fermi-level density of states (states/eV per cell) = 1.95
- calculated density (Mg/m³) = 4.36
- formation energy from the elements (meV/atom) = 216
- polymorph energy (0 for the lowest one) (meV per atom) = 355

```
data_K2AlAu
_cell_length_a 4.374
_cell_length_b 4.374
_cell_length_c 6.009
_cell_angle_alpha 90.00
_cell_angle_beta 90.00
_cell_angle_gamma 90.00
_space_group_name_H-M_alt 'P 4/m m m'
_space_group_IT_number 123
_space_group_name_Hall '-P 4 2'
loop_
_atom_site_label
_atom_site_fract_x
_atom_site_fract_y
_atom_site_fract_z
K1 0.000 0.000 0.240
Al1 0.500 0.500 0.500
Au1 0.500 0.500 0.000
```

[4]
Compound: K3AlAu
Source: Alexandria via LeMat-Bulk
Functional: GGA-PBEsol
Structure: optimized geometry

- E_tot (eV per atom) = -1.95
- magnetization (μB per formula unit) = 0.00
- Fermi-level density of states (states/eV per cell) = 3.75
- calculated density (Mg/m³) = 2.48
- formation energy from the elements (meV/atom) = 333

```
data_K3AlAu
_cell_length_a 6.110
_cell_length_b 6.110
_cell_length_c 6.110
_cell_angle_alpha 90.00
_cell_angle_beta 90.00
_cell_angle_gamma 90.00
_space_group_name_H-M_alt 'P m -3 m'
_space_group_IT_number 221
_space_group_name_Hall '-P 4 2 3'
loop_
_atom_site_label
_atom_site_fract_x
_atom_site_fract_y
_atom_site_fract_z
K1 0.000 0.000 0.500
Al1 0.500 0.500 0.500
Au1 0.000 0.000 0.000
```

[5]
Compound: KAlAu2
Source: Alexandria via LeMat-Bulk
Functional: GGA-PBEsol
Structure: optimized geometry

- E_tot (eV per atom) = -3.53
- magnetization (μB per formula unit) = 0.00
- Fermi-level density of states (states/eV per cell) = 4.86
- calculated density (Mg/m³) = 7.22
- formation energy from the elements (meV/atom) = -262
- polymorph energy (0 for the lowest one) (meV per atom) = 45

```
data_KAlAu2
_cell_length_a 4.4678
_cell_length_b 4.4678
_cell_length_c 18.3686
_cell_angle_alpha 90.00
_cell_angle_beta 90.00
_cell_angle_gamma 120.00
_space_group_name_H-M_alt 'R 3 m'
_space_group_IT_number 160
_space_group_name_Hall 'R 3 -2"'
loop_
_atom_site_label
_atom_site_fract_x
_atom_site_fract_y
_atom_site_fract_z
K1 0.0000 0.0000 0.0000
Al1 0.0000 0.0000 0.1830
Au1 0.0000 0.0000 0.5301
Au2 0.0000 0.0000 0.8148
```

[6]
Compound: KAlPdAu2
Source: Alexandria via LeMat-Bulk
Functional: GGA-PBEsol
Structure: optimized geometry

- E_tot (eV per atom) = -3.16
- magnetization (μB per formula unit) = 0.00
- Fermi-level density of states (states/eV per cell) = 1.64
- calculated density (Mg/m³) = 6.99
- formation energy from the elements (meV/atom) = 645

```
data_KAlPdAu2
_cell_length_a 5.085
_cell_length_b 5.085
_cell_length_c 5.207
_cell_angle_alpha 90.00
_cell_angle_beta 90.00
_cell_angle_gamma 90.00
_space_group_name_H-M_alt 'P 4/m m m'
_space_group_IT_number 123
_space_group_name_Hall '-P 4 2'
loop_
_atom_site_label
_atom_site_fract_x
_atom_site_fract_y
_atom_site_fract_z
K1 0.000 0.000 0.000
Al1 0.500 0.500 0.000
Pd1 0.000 0.000 0.500
Au1 0.000 0.500 0.500
```

[7]
Compound: K2AlTcAu
Source: Alexandria via LeMat-Bulk
Functional: GGA-PBEsol
Structure: optimized geometry

- E_tot (eV per atom) = -2.96
- magnetization (μB per formula unit) = 3.92
- Fermi-level density of states (states/eV per cell) = 5.11
- calculated density (Mg/m³) = 3.62
- formation energy from the elements (meV/atom) = 1348

```
data_K2AlTcAu
_cell_length_a 6.262
_cell_length_b 6.262
_cell_length_c 4.683
_cell_angle_alpha 90.00
_cell_angle_beta 90.00
_cell_angle_gamma 90.00
_space_group_name_H-M_alt 'P 4/m m m'
_space_group_IT_number 123
_space_group_name_Hall '-P 4 2'
loop_
_atom_site_label
_atom_site_fract_x
_atom_site_fract_y
_atom_site_fract_z
K1 0.000 0.500 0.000
Al1 0.000 0.000 0.000
Tc1 0.500 0.500 0.500
Au1 0.000 0.000 0.500
```

[8]
Compound: LaAl3Au
Source: Alexandria via LeMat-Bulk
Functional: GGA-PBEsol
Structure: optimized geometry

- E_tot (eV per atom) = -4.98
- magnetization (μB per formula unit) = 0.00
- Fermi-level density of states (states/eV per cell) = 2.75
- calculated density (Mg/m³) = 6.78
- formation energy from the elements (meV/atom) = -669

```
data_LaAl3Au
_cell_length_a 4.339
_cell_length_b 4.339
_cell_length_c 10.837
_cell_angle_alpha 90.00
_cell_angle_beta 90.00
_cell_angle_gamma 90.00
_space_group_name_H-M_alt 'I 4 m m'
_space_group_IT_number 107
_space_group_name_Hall 'I 4 -2'
loop_
_atom_site_label
_atom_site_fract_x
_atom_site_fract_y
_atom_site_fract_z
La1 0.000 0.000 0.000
Al1 0.000 0.000 0.591
Al2 0.000 0.500 0.240
Au1 0.000 0.000 0.362
```

[9]
Compound: LaAl2Au
Source: Alexandria via LeMat-Bulk
Functional: GGA-PBEsol
Structure: optimized geometry

- E_tot (eV per atom) = -4.76
- magnetization (μB per formula unit) = 0.00
- Fermi-level density of states (states/eV per cell) = 1.96
- calculated density (Mg/m³) = 7.98
- formation energy from the elements (meV/atom) = -400

```
data_LaAl2Au
_cell_length_a 3.203
_cell_length_b 3.400
_cell_length_c 7.452
_cell_angle_alpha 90.00
_cell_angle_beta 90.00
_cell_angle_gamma 90.00
_space_group_name_H-M_alt 'P m m m'
_space_group_IT_number 47
loop_
_space_group_symop_operation_xyz
'x,y,z'
'-x,-y,-z'
'-x,-y,z'
'x,y,-z'
'x,-y,-z'
'-x,y,z'
'-x,y,-z'
'x,-y,z'
loop_
_atom_site_label
_atom_site_fract_x
_atom_site_fract_y
_atom_site_fract_z
La1 0.000 0.000 0.000
Al1 0.500 0.500 0.305
Au1 0.000 0.000 0.500
```

[10]
Compound: LaAlAu
Source: Alexandria via LeMat-Bulk
Functional: GGA-PBEsol
Structure: optimized geometry

- E_tot (eV per atom) = -5.20
- magnetization (μB per formula unit) = 0.00
- Fermi-level density of states (states/eV per cell) = 8.27
- calculated density (Mg/m³) = 9.09
- formation energy from the elements (meV/atom) = -750

```
data_LaAlAu
_cell_length_a 7.741
_cell_length_b 4.631
_cell_length_c 7.396
_cell_angle_alpha 90.00
_cell_angle_beta 90.00
_cell_angle_gamma 90.00
_space_group_name_H-M_alt 'P n m a'
_space_group_IT_number 62
loop_
_space_group_symop_operation_xyz
'x,y,z'
'-x,-y,-z'
'-x+1/2,-y,z+1/2'
'x+1/2,y,-z+1/2'
'x+1/2,-y+1/2,-z+1/2'
'-x+1/2,y+1/2,z+1/2'
'-x,y+1/2,-z'
'x,-y+1/2,z'
loop_
_atom_site_label
_atom_site_fract_x
_atom_site_fract_y
_atom_site_fract_z
La1 0.017 0.250 0.177
Al1 0.168 0.250 0.584
Au1 0.183 0.750 0.404
```

[11]
Compound: LaAl2Au
Source: Alexandria via LeMat-Bulk
Functional: GGA-PBEsol
Structure: optimized geometry

- E_tot (eV per atom) = -4.97
- magnetization (μB per formula unit) = 0.00
- Fermi-level density of states (states/eV per cell) = 5.97
- calculated density (Mg/m³) = 7.39
- formation energy from the elements (meV/atom) = -606

```
data_LaAl2Au
_cell_length_a 4.3110
_cell_length_b 4.3110
_cell_length_c 16.3327
_cell_angle_alpha 90.00
_cell_angle_beta 90.00
_cell_angle_gamma 120.00
_space_group_name_H-M_alt 'R -3 m'
_space_group_IT_number 166
_space_group_name_Hall '-R 3 2"'
loop_
_atom_site_label
_atom_site_fract_x
_atom_site_fract_y
_atom_site_fract_z
La1 0.0000 0.0000 0.0000
Al1 0.0000 0.0000 0.2095
Au1 0.0000 0.0000 0.5000
```

[12]
Compound: LiAlAu
Source: Alexandria via LeMat-Bulk
Functional: GGA-PBEsol
Structure: optimized geometry

- E_tot (eV per atom) = -3.75
- magnetization (μB per formula unit) = 0.00
- Fermi-level density of states (states/eV per cell) = 1.31
- calculated density (Mg/m³) = 8.00
- formation energy from the elements (meV/atom) = -420

```
data_LiAlAu
_cell_length_a 4.4050
_cell_length_b 4.4050
_cell_length_c 2.8512
_cell_angle_alpha 90.00
_cell_angle_beta 90.00
_cell_angle_gamma 120.00
_space_group_name_H-M_alt 'P -6 m 2'
_space_group_IT_number 187
_space_group_name_Hall 'P -6 2'
loop_
_atom_site_label
_atom_site_fract_x
_atom_site_fract_y
_atom_site_fract_z
Li1 0.0000 0.0000 0.0000
Al1 0.3333 0.6667 0.5000
Au1 0.6667 0.3333 0.5000
```

[13]
Compound: LiAlAu
Source: Alexandria via LeMat-Bulk
Functional: GGA-PBEsol
Structure: optimized geometry

- E_tot (eV per atom) = -3.79
- magnetization (μB per formula unit) = 0.00
- Fermi-level density of states (states/eV per cell) = 1.96
- calculated density (Mg/m³) = 8.65
- formation energy from the elements (meV/atom) = -465

```
data_LiAlAu
_cell_length_a 3.278
_cell_length_b 3.278
_cell_length_c 8.255
_cell_angle_alpha 90.00
_cell_angle_beta 90.00
_cell_angle_gamma 90.00
_space_group_name_H-M_alt 'I 4 m m'
_space_group_IT_number 107
_space_group_name_Hall 'I 4 -2'
loop_
_atom_site_label
_atom_site_fract_x
_atom_site_fract_y
_atom_site_fract_z
Li1 0.000 0.000 0.000
Al1 0.000 0.000 0.329
Au1 0.000 0.000 0.661
```

[14]
Compound: LiAl2Au
Source: Alexandria via LeMat-Bulk
Functional: GGA-PBEsol
Structure: optimized geometry

- E_tot (eV per atom) = -3.88
- magnetization (μB per formula unit) = 0.00
- Fermi-level density of states (states/eV per cell) = 1.65
- calculated density (Mg/m³) = 7.08
- formation energy from the elements (meV/atom) = -362

```
data_LiAl2Au
_cell_length_a 3.919
_cell_length_b 3.919
_cell_length_c 7.880
_cell_angle_alpha 90.00
_cell_angle_beta 90.00
_cell_angle_gamma 90.00
_space_group_name_H-M_alt 'I -4 m 2'
_space_group_IT_number 119
_space_group_name_Hall 'I -4 -2'
loop_
_atom_site_label
_atom_site_fract_x
_atom_site_fract_y
_atom_site_fract_z
Li1 0.000 0.000 0.000
Al1 0.000 0.000 0.500
Al2 0.000 0.500 0.750
Au1 0.000 0.500 0.250
```

[15]
Compound: LiAlAu2
Source: Alexandria via LeMat-Bulk
Functional: GGA-PBEsol
Structure: optimized geometry

- E_tot (eV per atom) = -3.99
- magnetization (μB per formula unit) = 0.00
- Fermi-level density of states (states/eV per cell) = 1.66
- calculated density (Mg/m³) = 11.79
- formation energy from the elements (meV/atom) = -517

```
data_LiAlAu2
_cell_length_a 3.736
_cell_length_b 3.851
_cell_length_c 8.380
_cell_angle_alpha 90.00
_cell_angle_beta 90.00
_cell_angle_gamma 90.00
_space_group_name_H-M_alt 'I m m 2'
_space_group_IT_number 44
loop_
_space_group_symop_operation_xyz
'x,y,z'
'-x,-y,z'
'-x,y,z'
'x,-y,z'
'x+1/2,y+1/2,z+1/2'
'-x+1/2,-y+1/2,z+1/2'
'-x+1/2,y+1/2,z+1/2'
'x+1/2,-y+1/2,z+1/2'
loop_
_atom_site_label
_atom_site_fract_x
_atom_site_fract_y
_atom_site_fract_z
Li1 0.000 0.000 0.000
Al1 0.000 0.500 0.752
Au1 0.000 0.000 0.498
Au2 0.000 0.500 0.249
```